No. 1
An optimized crystal structure of La3Tb2Dy, computed with PBE.

Calculated values
Offset from the most stable computed form ... 0.0 meV/atom
Density of states at the Fermi level ... 7.63 states/eV per cell
ρ ... 7.29 g cm⁻³
Volume ... 34.06 Å³/atom
SG ... C2/m
Electronic total energy ... -28.58 eV per cell

Cell: 6.3479 6.3479 6.2268 Å, 99.78 99.78 120.01°
Closest atoms and distances in Å follow each position.
Element x y z (fractional)
La 0.0000 0.0000 0.0000  2 Dy 3.61, 4 Tb 3.61, 6 La 3.66-3.67
La 0.3335 0.6665 0.0000  2 Dy 3.61, 4 Tb 3.61, 6 La 3.66-3.67
La 0.6665 0.3335 0.0000  2 Dy 3.61, 4 Tb 3.61, 6 La 3.66-3.67
Tb 0.1666 0.8334 0.5000  6 La 3.61, 3 Dy 3.66-3.67, 3 Tb 3.66
Tb 0.8334 0.1666 0.5000  6 La 3.61, 3 Dy 3.66-3.67, 3 Tb 3.66
Dy 0.5000 0.5000 0.5000  6 La 3.61, 6 Tb 3.66-3.67



No. 2
An optimized crystal structure of La3Tb4Dy3, computed with PBE.

Calculated values
Density of states at the Fermi level ... 12.74 states/eV per cell
ρ ... 7.46 g cm⁻³
Volume ... 34.27 Å³/atom
SG ... Amm2
Electronic total energy ... -46.26 eV per cell

Cell: 3.7347 9.5790 9.5790 Å, 90.10 90.00 90.00°
Closest atoms and distances in Å follow each position.
Element x y z (fractional)
La 0.0000 0.0000 0.0000  6 Tb 3.36-3.49, 2 La 3.73
La 0.5000 0.1763 0.6672  4 Tb 3.68-3.88, 4 La 3.73-4.06, 6 Dy 3.95-4.02
La 0.5000 0.6672 0.1763  4 Tb 3.68-3.88, 4 La 3.73-4.06, 6 Dy 3.95-4.02
Tb 0.5000 0.0526 0.3028  4 Dy 3.33-3.41, 1 Tb 3.39, 3 La 3.49-3.68
Tb 0.5000 0.3028 0.0526  4 Dy 3.33-3.41, 1 Tb 3.39, 3 La 3.49-3.68
Tb 0.5000 0.5484 0.5484  6 Dy 3.31-3.42, 1 Tb 3.32
Tb 0.5000 0.7939 0.7939  1 Tb 3.32, 2 La 3.36, 4 Dy 3.41
Dy 0.0000 0.3469 0.3469  6 Tb 3.31-3.41
Dy 0.0000 0.5005 0.8437  6 Tb 3.33-3.42
Dy 0.0000 0.8437 0.5005  6 Tb 3.33-3.42



No. 3
An optimized crystal structure of La2Tb3Dy, computed with PBE.

Calculated values
Offset from the most stable computed form ... 0.0 meV/atom
Density of states at the Fermi level ... 17.87 states/eV per cell
ρ ... 7.56 g cm⁻³
Volume ... 33.58 Å³/atom
SG ... P-1
Electronic total energy ... -56.38 eV per cell

Cell: 6.2538 6.2874 10.8719 Å, 73.21 84.74 80.26°
Closest atoms and distances in Å follow each position.
Element x y z (fractional)
La 0.1246 0.3746 0.3750  2 Dy 3.58-3.64, 8 Tb 3.59-3.64, 2 La 3.63
La 0.3750 0.1253 0.1247  7 Tb 3.59-3.64, 2 La 3.62-3.63, 3 Dy 3.63
La 0.6250 0.8747 0.8753  7 Tb 3.59-3.64, 2 La 3.62-3.63, 3 Dy 3.63
La 0.8754 0.6254 0.6250  2 Dy 3.58-3.64, 8 Tb 3.59-3.64, 2 La 3.63
Tb 0.1224 0.7088 0.0411  5 La 3.59-3.64, 3 Dy 3.60-3.64, 4 Tb 3.61-3.63
Tb 0.1278 0.0406 0.7093  5 La 3.59-3.64, 2 Dy 3.60-3.61, 5 Tb 3.60-3.64
Tb 0.3776 0.7905 0.4590  5 La 3.59-3.64, 5 Tb 3.60-3.64, 2 Dy 3.61-3.63
Tb 0.6224 0.2095 0.5410  5 La 3.59-3.64, 5 Tb 3.60-3.64, 2 Dy 3.61-3.63
Tb 0.8722 0.9594 0.2907  5 La 3.59-3.64, 2 Dy 3.60-3.61, 5 Tb 3.60-3.64
Tb 0.8776 0.2912 0.9589  5 La 3.59-3.64, 3 Dy 3.60-3.64, 4 Tb 3.61-3.63
Dy 0.3725 0.4593 0.7908  5 La 3.58-3.64, 7 Tb 3.60-3.64
Dy 0.6275 0.5407 0.2092  5 La 3.58-3.64, 7 Tb 3.60-3.64



No. 4
An optimized crystal structure of La4Tb4Dy3, computed with PBE.

Calculated values
Offset from the most stable computed form ... 0.0 meV/atom
Density of states at the Fermi level ... 17.87 states/eV per cell
ρ ... 7.58 g cm⁻³
Volume ... 33.42 Å³/atom
SG ... C2/m
Electronic total energy ... -51.35 eV per cell

Cell: 18.3426 18.3426 5.7506 Å, 99.00 99.00 11.09°
Closest atoms and distances in Å follow each position.
Element x y z (fractional)
La 0.0918 0.0918 0.0913  3 Tb 3.25-3.34, 2 La 3.55
La 0.2303 0.2303 0.7301  4 Tb 3.36-3.63, 6 La 3.55-3.67
La 0.7697 0.7697 0.2699  4 Tb 3.36-3.63, 6 La 3.55-3.67
La 0.9082 0.9082 0.9087  3 Tb 3.25-3.34, 2 La 3.55
Tb 0.0448 0.0448 0.5443  3 Tb 3.23-3.55, 2 La 3.34
Tb 0.1818 0.1818 0.1816  5 La 3.25-3.63, 2 Tb 3.55
Tb 0.8182 0.8182 0.8184  5 La 3.25-3.63, 2 Tb 3.55
Tb 0.9552 0.9552 0.4557  3 Tb 3.23-3.55, 2 La 3.34
Dy 0.3639 0.3639 0.3644  2 Dy 3.55, 6 La 3.74-3.83, 6 Tb 3.74-3.76
Dy 0.5000 0.5000 0.0000  2 Dy 3.55, 8 Tb 3.74-3.75, 4 La 3.76
Dy 0.6361 0.6361 0.6356  2 Dy 3.55, 6 La 3.74-3.83, 6 Tb 3.74-3.76



Per-record magnetization, Bohr magnetons per cell: 0.00; 0.02; 0.00; 0.00
Per-record E_form, eV/atom: 0.01; 0.08; 0.03; 0.06